Entry 1:
Density functional theory data (PBE) for Cd12PdAu7 after structural relaxation.

Output
V: 20.74 Å³/atom
formation enthalpy at 0 K: -0.130 eV/atom
calculated density: 11.35 Mg/m³
E: -2.0862 eV per atom
spin magnetization: 0.0000 μB per atom

Structure (POSCAR):
```
Cd12PdAu7
1.0
6.2895 3.6313 3.0270
-6.2895 3.6313 3.0270
0.0000 -7.2625 3.0270
Cd Pd Au
12 1 7
Direct
0.0543 0.7122 0.1548 Cd
0.1548 0.0543 0.7122 Cd
0.1683 0.4484 0.6364 Cd
0.2878 0.8452 0.9457 Cd
0.3636 0.8317 0.5516 Cd
0.4484 0.6364 0.1683 Cd
0.5516 0.3636 0.8317 Cd
0.6364 0.1683 0.4484 Cd
0.7122 0.1548 0.0543 Cd
0.8317 0.5516 0.3636 Cd
0.8452 0.9457 0.2878 Cd
0.9457 0.2878 0.8452 Cd
0.0000 0.0000 0.0000 Pd
0.1155 0.4064 0.2505 Au
0.2505 0.1155 0.4064 Au
0.4064 0.2505 0.1155 Au
0.5000 0.5000 0.5000 Au
0.5936 0.7495 0.8845 Au
0.7495 0.8845 0.5936 Au
0.8845 0.5936 0.7495 Au
```

Entry 2:
Density functional theory data (PBE) for AlSb2Te after structural relaxation.

Output
V: 28.08 Å³/atom
E_form (uncorrected): -10 meV/atom
E above lowest polymorph: 76.9 meV per atom
calculated density: 5.89 Mg/m³
E: -3.7925 eV per atom
spin magnetization: 0.0000 μB per atom

Structure (POSCAR):
```
AlSb2Te
1.0
4.3426 0.0000 0.0000
0.0000 4.3426 0.0000
0.0000 0.0000 5.9561
Al Sb Te
1 2 1
Direct
0.0000 0.0000 0.0000 Al
0.0000 0.0000 0.5000 Sb
0.5000 0.5000 0.5000 Sb
0.5000 0.5000 0.0000 Te
```

Entry 3:
Density functional theory data (PBE) for ZnCoReTc after structural relaxation.

Output
V: 13.60 Å³/atom
formation enthalpy at 0 K: 0.139 eV/atom
calculated density: 12.47 Mg/m³
E: -7.6596 eV per atom
spin magnetization: 0.2594 μB per atom

Structure (POSCAR):
```
ZnCoReTc
1.0
6.0146 0.0000 0.0000
0.0000 6.0146 0.0000
0.0000 0.0000 6.0146
Zn Co Re Tc
4 4 4 4
Direct
0.0000 0.0000 0.0000 Zn
0.0000 0.5000 0.5000 Zn
0.5000 0.0000 0.5000 Zn
0.5000 0.5000 0.0000 Zn
0.2500 0.2500 0.7500 Co
0.2500 0.7500 0.2500 Co
0.7500 0.2500 0.2500 Co
0.7500 0.7500 0.7500 Co
0.0000 0.0000 0.5000 Re
0.0000 0.5000 0.0000 Re
0.5000 0.0000 0.0000 Re
0.5000 0.5000 0.5000 Re
0.2500 0.2500 0.2500 Tc
0.2500 0.7500 0.7500 Tc
0.7500 0.2500 0.7500 Tc
0.7500 0.7500 0.2500 Tc
```

Entry 4:
Density functional theory data (PBE) for Mg2BeTl after structural relaxation.

Output
V: 22.43 Å³/atom
E above lowest polymorph: 221.2 meV per atom
formation enthalpy at 0 K: 0.437 eV/atom
calculated density: 4.85 Mg/m³
E: -1.8832 eV per atom
spin magnetization: 0.0000 μB per atom

Structure (POSCAR):
```
Mg2BeTl
1.0
8.1004 0.0000 0.0000
0.0000 8.1004 0.0000
0.0000 0.0000 5.4689
Mg Be Tl
8 4 4
Direct
0.1760 0.7500 0.1250 Mg
0.2500 0.1760 0.8750 Mg
0.2500 0.3240 0.3750 Mg
0.3240 0.7500 0.6250 Mg
0.6760 0.2500 0.6250 Mg
0.7500 0.6760 0.3750 Mg
0.7500 0.8240 0.8750 Mg
0.8240 0.2500 0.1250 Mg
0.0000 0.0000 0.0000 Be
0.0000 0.5000 0.2500 Be
0.5000 0.0000 0.7500 Be
0.5000 0.5000 0.5000 Be
0.0000 0.0000 0.5000 Tl
0.0000 0.5000 0.7500 Tl
0.5000 0.0000 0.2500 Tl
0.5000 0.5000 0.0000 Tl
```

Entry 5:
Density functional theory data (PBE) for VFeTcI2 after structural relaxation.

Output
V: 26.78 Å³/atom
E_form (uncorrected): 1353 meV/atom
calculated density: 5.69 Mg/m³
E: -4.8566 eV per atom
spin magnetization: 0.6680 μB per atom

Structure (POSCAR):
```
VFeTcI2
1.0
5.3752 0.0000 0.0000
0.0000 5.3752 0.0000
0.0000 0.0000 4.6341
V Fe Tc I
1 1 1 2
Direct
0.0000 0.0000 0.0000 V
0.5000 0.5000 0.5000 Fe
0.0000 0.0000 0.5000 Tc
0.0000 0.5000 0.0000 I
0.5000 0.0000 0.0000 I
```

Entry 6:
Density functional theory data (PBE) for Ce5HN4 after structural relaxation.

Output
V: 15.89 Å³/atom
E above lowest polymorph: 18.7 meV per atom
calculated density: 7.92 Mg/m³
E: -7.8918 eV per atom
spin magnetization: 0.0620 μB per atom

Structure (POSCAR):
```
Ce5HN4
1.0
-1.7909 1.7909 12.3824
1.7909 -1.7909 12.3824
1.7909 1.7909 -12.3824
Ce H N
5 1 4
Direct
0.0000 0.0000 0.0000 Ce
0.1994 0.1994 0.0000 Ce
0.4004 0.4004 0.0000 Ce
0.5996 0.5996 0.0000 Ce
0.8006 0.8006 0.0000 Ce
0.5000 0.5000 0.0000 H
0.0997 0.0997 0.0000 N
0.3021 0.3021 0.0000 N
0.6979 0.6979 0.0000 N
0.9003 0.9003 0.0000 N
```

Entry 7:
Density functional theory data (PBE) for YZrPt after structural relaxation.

Output
V: 22.45 Å³/atom
E above lowest polymorph: 180.6 meV per atom
formation enthalpy at 0 K: -0.663 eV/atom
calculated density: 9.25 Mg/m³
E: -7.6804 eV per atom
spin magnetization: 0.0000 μB per atom

Structure (POSCAR):
```
YZrPt
1.0
3.4774 0.0000 0.0000
0.0000 3.4774 0.0000
0.0000 0.0000 11.1379
Y Zr Pt
2 2 2
Direct
0.0000 0.0000 0.0000 Y
0.5000 0.5000 0.5000 Y
0.0000 0.0000 0.2986 Zr
0.5000 0.5000 0.7986 Zr
0.0000 0.0000 0.6698 Pt
0.5000 0.5000 0.1698 Pt
```

Entry 8:
Density functional theory data (PBE) for PuTc3Ge3 after structural relaxation.

Output
V: 22.33 Å³/atom
E above lowest polymorph: 647.9 meV per atom
formation enthalpy at 0 K: 0.488 eV/atom
calculated density: 8.03 Mg/m³
E: -7.9813 eV per atom
spin magnetization: 0.4380 μB per atom

Structure (POSCAR):
```
PuTc3Ge3
1.0
6.7873 0.0000 0.0000
0.0000 6.7873 0.0000
0.0000 0.0000 6.7873
Pu Tc Ge
2 6 6
Direct
0.0000 0.0000 0.0000 Pu
0.5000 0.5000 0.5000 Pu
0.0000 0.2500 0.5000 Tc
0.0000 0.7500 0.5000 Tc
0.2500 0.5000 0.0000 Tc
0.5000 0.0000 0.2500 Tc
0.5000 0.0000 0.7500 Tc
0.7500 0.5000 0.0000 Tc
0.0000 0.5000 0.2500 Ge
0.0000 0.5000 0.7500 Ge
0.2500 0.0000 0.5000 Ge
0.5000 0.2500 0.0000 Ge
0.5000 0.7500 0.0000 Ge
0.7500 0.0000 0.5000 Ge
```

Entry 9:
Density functional theory data (PBE) for FeTe2Rh after structural relaxation.

Output
V: 22.25 Å³/atom
E_form (uncorrected): -60 meV/atom
calculated density: 7.72 Mg/m³
E: -5.5846 eV per atom
spin magnetization: 0.5759 μB per atom

Structure (POSCAR):
```
FeTe2Rh
1.0
6.8813 0.0000 0.0000
0.0000 3.9717 0.0000
-2.3080 0.0000 6.5142
Fe Te Rh
2 4 2
Direct
0.0000 0.0000 0.0000 Fe
0.5000 0.5000 0.0000 Fe
0.2660 0.0000 0.7999 Te
0.4521 0.0000 0.3534 Te
0.7660 0.5000 0.7999 Te
0.9521 0.5000 0.3534 Te
0.2139 0.5000 0.1407 Rh
0.7139 0.0000 0.1407 Rh
```

Entry 10:
Density functional theory data (PBE) for NbGaCoCu after structural relaxation.

Output
V: 13.65 Å³/atom
formation enthalpy at 0 K: -0.187 eV/atom
calculated density: 8.67 Mg/m³
E: -6.2618 eV per atom
spin magnetization: 0.0000 μB per atom

Structure (POSCAR):
```
NbGaCoCu
1.0
6.0222 0.0000 0.0000
0.0000 6.0222 0.0000
0.0000 0.0000 6.0222
Nb Ga Co Cu
4 4 4 4
Direct
0.0000 0.0000 0.0000 Nb
0.0000 0.5000 0.5000 Nb
0.5000 0.0000 0.5000 Nb
0.5000 0.5000 0.0000 Nb
0.0000 0.0000 0.5000 Ga
0.0000 0.5000 0.0000 Ga
0.5000 0.0000 0.0000 Ga
0.5000 0.5000 0.5000 Ga
0.2500 0.2500 0.2500 Co
0.2500 0.7500 0.7500 Co
0.7500 0.2500 0.7500 Co
0.7500 0.7500 0.2500 Co
0.2500 0.2500 0.7500 Cu
0.2500 0.7500 0.2500 Cu
0.7500 0.2500 0.2500 Cu
0.7500 0.7500 0.7500 Cu
```

Entry 11:
Density functional theory data (PBE) for CaH2IF after structural relaxation.

Output
V: 17.98 Å³/atom
E above lowest polymorph: 0.0 meV per atom
calculated density: 3.47 Mg/m³
E: -3.0867 eV per atom
spin magnetization: 0.0000 μB per atom

Structure (POSCAR):
```
CaH2IF
1.0
4.6211 0.0000 0.0000
0.0000 4.6211 0.0000
0.0000 0.0000 4.2100
Ca H I F
1 2 1 1
Direct
0.0000 0.0000 0.0000 Ca
0.0000 0.5000 0.0000 H
0.5000 0.0000 0.0000 H
0.5000 0.5000 0.5000 I
0.0000 0.0000 0.5000 F
```

Entry 12:
Density functional theory data (PBE) for Ca2NiAgP after structural relaxation.

Output
V: 24.34 Å³/atom
formation enthalpy at 0 K: -0.413 eV/atom
calculated density: 3.79 Mg/m³
E: -4.0225 eV per atom
spin magnetization: 0.0000 μB per atom

Structure (POSCAR):
```
Ca2NiAgP
1.0
5.4523 0.0000 0.0000
0.0000 5.4523 0.0000
0.0000 0.0000 4.0939
Ca Ni Ag P
2 1 1 1
Direct
0.0000 0.5000 0.0000 Ca
0.5000 0.0000 0.0000 Ca
0.0000 0.0000 0.0000 Ni
0.5000 0.5000 0.5000 Ag
0.0000 0.0000 0.5000 P
```